# 1
Entry from the Alexandria database: a relaxed MnSi2Pt crystal (GGA-PBE).

Cell and atoms, written as POSCAR:
```
MnSi2Pt
1.0
3.9825 0.0000 0.0000
0.0000 3.9825 0.0000
0.0000 0.0000 3.2001
Mn Si Pt
1 2 1
Direct
0.0000 0.0000 0.0000 Mn
0.0000 0.5000 0.5000 Si
0.5000 0.0000 0.5000 Si
0.5000 0.5000 0.0000 Pt
```

Output
uncorrected formation energy = -0.28 eV/atom

=====

# 2
Entry from the Alexandria database: a relaxed Mn2Si3Pt9 crystal (GGA-PBE).

Cell and atoms, written as POSCAR:
```
Mn2Si3Pt9
1.0
6.2646 -3.6804 0.0000
6.2646 3.6804 0.0000
-3.9490 0.0000 9.2760
Mn Si Pt
4 6 18
Direct
0.0641 0.2495 0.2475 Mn
0.2495 0.0641 0.7475 Mn
0.7505 0.9359 0.2525 Mn
0.9359 0.7505 0.7525 Mn
0.0000 0.5000 0.0000 Si
0.1640 0.6772 0.5124 Si
0.3228 0.8360 0.9876 Si
0.5000 0.0000 0.5000 Si
0.6772 0.1640 0.0124 Si
0.8360 0.3228 0.4876 Si
0.0239 0.8612 0.0770 Pt
0.1388 0.9761 0.4230 Pt
0.1582 0.5843 0.2537 Pt
0.1798 0.3550 0.5824 Pt
0.3043 0.4623 0.9266 Pt
0.3550 0.1798 0.0824 Pt
0.3699 0.6301 0.7500 Pt
0.4157 0.8418 0.2463 Pt
0.4623 0.3043 0.4266 Pt
0.5377 0.6957 0.5734 Pt
0.5843 0.1582 0.7537 Pt
0.6301 0.3699 0.2500 Pt
0.6450 0.8202 0.9176 Pt
0.6957 0.5377 0.0734 Pt
0.8202 0.6450 0.4176 Pt
0.8418 0.4157 0.7463 Pt
0.8612 0.0239 0.5770 Pt
0.9761 0.1388 0.9230 Pt
```

Output
uncorrected formation energy = -0.54 eV/atom

=====

# 3
Entry from the Alexandria database: a relaxed Mn4SiPt crystal (GGA-PBE).

Cell and atoms, written as POSCAR:
```
Mn4SiPt
1.0
0.0000 3.3213 3.3213
3.3213 0.0000 3.3213
3.3213 3.3213 0.0000
Mn Si Pt
4 1 1
Direct
0.3759 0.3759 0.3759 Mn
0.3759 0.3759 0.8724 Mn
0.3759 0.8724 0.3759 Mn
0.8724 0.3759 0.3759 Mn
0.7500 0.7500 0.7500 Si
0.0000 0.0000 0.0000 Pt
```

Output
uncorrected formation energy = 0.14 eV/atom

=====

# 4
Entry from the Alexandria database: a relaxed MnSi2Pt crystal (GGA-PBE).

Cell and atoms, written as POSCAR:
```
MnSi2Pt
1.0
2.8114 0.0000 0.0000
0.0000 2.8114 0.0000
0.0000 0.0000 7.0482
Mn Si Pt
1 2 1
Direct
0.0000 0.0000 0.0000 Mn
0.0000 0.0000 0.5190 Si
0.5000 0.5000 0.7808 Si
0.5000 0.5000 0.2778 Pt
```

Output
uncorrected formation energy = -0.06 eV/atom

=====

# 5
Entry from the Alexandria database: a relaxed MnSiPt2 crystal (GGA-PBE).

Cell and atoms, written as POSCAR:
```
MnSiPt2
1.0
-1.9509 1.9509 8.4405
1.9509 -1.9509 8.4405
1.9509 1.9509 -8.4405
Mn Si Pt
2 2 4
Direct
0.0000 0.0000 0.0000 Mn
0.7500 0.2500 0.5000 Mn
0.2500 0.7500 0.5000 Si
0.5000 0.5000 0.0000 Si
0.1323 0.6250 0.0073 Pt
0.3750 0.3823 0.5073 Pt
0.6177 0.1250 0.9927 Pt
0.8750 0.8677 0.4927 Pt
```

Output
uncorrected formation energy = -0.17 eV/atom

=====

# 6
Entry from the Alexandria database: a relaxed MnSi4Pt crystal (GGA-PBE).

Cell and atoms, written as POSCAR:
```
MnSi4Pt
1.0
0.0000 3.5053 3.5053
3.5053 0.0000 3.5053
3.5053 3.5053 0.0000
Mn Si Pt
1 4 1
Direct
0.0000 0.0000 0.0000 Mn
0.3749 0.3749 0.3749 Si
0.3749 0.3749 0.8753 Si
0.3749 0.8753 0.3749 Si
0.8753 0.3749 0.3749 Si
0.7500 0.7500 0.7500 Pt
```

Output
uncorrected formation energy = 0.35 eV/atom

=====

> Which formula does entry 6 have?

MnSi4Pt

=====

> Among the records above, which one has the lowest uncorrected formation energy?

Mn2Si3Pt9